1.
{"formula": "LiInHg2H", "functional": "PBE", "state": "relaxed", "cell": [[-2.6160, 0.2966, 4.7463], [3.5893, -3.4303, 2.1927], [1.9354, 2.6029, 0.9040]], "species": ["Hg", "Hg", "In", "H", "Li"], "fractional_positions": [[0.0000, 0.5000, 0.0000], [0.5000, 0.0000, 0.0000], [0.5000, 0.5000, 0.5000], [0.0000, 0.0000, 0.0000], [0.0000, 0.0000, 0.5000]], "dos_ef_per_ev_cell": 0.908, "total_energy_ev_per_atom": -1.740}



2.
{"formula": "Li2InHgH", "functional": "PBE", "state": "relaxed", "cell": [[4.2502, 0.0000, 0.0000], [0.0000, 4.2502, 0.0000], [0.0000, 0.0000, 4.4617]], "species": ["Li", "Li", "In", "H", "Hg"], "fractional_positions": [[0.0000, 0.5000, 0.0000], [0.5000, 0.0000, 0.0000], [0.0000, 0.0000, 0.5000], [0.0000, 0.0000, 0.0000], [0.5000, 0.5000, 0.5000]], "dos_ef_per_ev_cell": 0.930, "polymorph_energy_ev_per_atom": 0.000, "total_energy_ev_per_atom": -2.210}



3.
{"formula": "Mg2InHgH", "functional": "PBE", "state": "relaxed", "cell": [[4.4186, 0.0000, 0.0000], [0.0000, 4.4186, 0.0000], [0.0000, 0.0000, 4.7392]], "species": ["In", "Mg", "Mg", "Hg", "H"], "fractional_positions": [[0.0000, 0.0000, 0.5000], [0.0000, 0.5000, 0.0000], [0.5000, 0.0000, 0.0000], [0.5000, 0.5000, 0.5000], [0.0000, 0.0000, 0.0000]], "dos_ef_per_ev_cell": 1.113, "total_energy_ev_per_atom": -1.896}



4.
{"formula": "Mg4InHgH", "functional": "PBE", "state": "relaxed", "cell": [[6.0896, 0.0000, 0.0000], [0.0000, 6.1164, 0.0000], [-3.0448, 0.0000, 7.5386]], "species": ["Hg", "Hg", "Mg", "Mg", "Mg", "Mg", "Mg", "Mg", "Mg", "Mg", "H", "H", "In", "In"], "fractional_positions": [[0.8867, 0.7500, 0.7734], [0.1133, 0.2500, 0.2266], [0.5000, 0.5000, 0.5000], [0.0000, 0.0000, 0.5000], [0.4140, 0.7500, 0.8279], [0.9261, 0.2500, 0.8523], [0.5860, 0.2500, 0.1721], [0.5000, 0.0000, 0.5000], [0.0000, 0.5000, 0.5000], [0.0739, 0.7500, 0.1477], [0.2621, 0.7500, 0.5242], [0.7379, 0.2500, 0.4758], [0.6084, 0.7500, 0.2167], [0.3916, 0.2500, 0.7833]], "dos_ef_per_ev_cell": 5.375, "total_energy_ev_per_atom": -1.885}



Question: Which formula does entry 4 have?
Answer: Mg4InHgH



Copy entry 1 word for word.
{"formula": "LiInHg2H", "functional": "PBE", "state": "relaxed", "cell": [[-2.6160, 0.2966, 4.7463], [3.5893, -3.4303, 2.1927], [1.9354, 2.6029, 0.9040]], "species": ["Hg", "Hg", "In", "H", "Li"], "fractional_positions": [[0.0000, 0.5000, 0.0000], [0.5000, 0.0000, 0.0000], [0.5000, 0.5000, 0.5000], [0.0000, 0.0000, 0.0000], [0.0000, 0.0000, 0.5000]], "dos_ef_per_ev_cell": 0.908, "total_energy_ev_per_atom": -1.740}